(1)
Sc6Tl2PbO, relaxed, DFT PBE; SG = P4/mmm, No. 123; magnetization = 1.36 μB/f.u.; DFT total energy = -5.525 eV/atom
1.0
5.119 0.000 0.000
0.000 5.119 0.000
0.000 0.000 9.560
Sc Tl Pb O
6 2 1 1
Direct
0.000 0.000 0.211
0.000 0.000 0.789
0.000 0.500 0.000
0.000 0.500 0.500
0.500 0.000 0.000
0.500 0.000 0.500
0.500 0.500 0.236
0.500 0.500 0.764
0.000 0.000 0.500
0.000 0.000 0.000

=====

(2)
Sc4TlPbO, relaxed, DFT PBE; SG = Cmcm, No. 63; magnetization = 0.05 μB/f.u.; DFT total energy = -6.294 eV/atom
1.0
3.091 -7.674 0.000
3.091 7.674 0.000
0.000 0.000 6.184
Sc Tl Pb O
8 2 2 2
Direct
0.000 0.500 0.000
0.000 0.500 0.500
0.089 0.911 0.750
0.407 0.593 0.750
0.500 0.000 0.000
0.500 0.000 0.500
0.593 0.407 0.250
0.911 0.089 0.250
0.106 0.894 0.250
0.894 0.106 0.750
0.396 0.604 0.250
0.604 0.396 0.750
0.249 0.751 0.750
0.751 0.249 0.250

=====

(3)
TmScPbO2, relaxed, DFT PBE; SG = I4mm, No. 107; magnetization = 0.00 μB/f.u.; DFT total energy = -7.397 eV/atom
1.0
-1.858 1.858 6.876
1.858 -1.858 6.876
1.858 1.858 -6.876
Tm Sc Pb O
1 1 1 2
Direct
0.000 0.000 0.000
0.348 0.348 0.000
0.676 0.676 0.000
0.417 0.917 0.500
0.917 0.417 0.500

=====

(4)
Tm2Sc2Pb2O, relaxed, DFT PBE; SG = I4/mmm, No. 139; magnetization = 0.58 μB/f.u.; DFT total energy = -6.037 eV/atom
1.0
-2.193 2.193 8.147
2.193 -2.193 8.147
2.193 2.193 -8.147
Tm Sc Pb O
2 2 2 1
Direct
0.169 0.169 0.000
0.831 0.831 0.000
0.000 0.500 0.500
0.500 0.000 0.500
0.362 0.362 0.000
0.638 0.638 0.000
0.000 0.000 0.000

=====

(5)
Sc2UPbO8, relaxed, DFT PBE; SG = Cmmm, No. 65; magnetization = 0.00 μB/f.u.; DFT total energy = -8.297 eV/atom
1.0
3.410 -3.531 0.000
3.410 3.531 0.000
0.000 0.000 6.741
Sc U Pb O
2 1 1 8
Direct
0.000 0.000 0.245
0.000 0.000 0.755
0.500 0.500 0.500
0.500 0.500 0.000
0.191 0.191 0.000
0.198 0.198 0.500
0.301 0.699 0.264
0.301 0.699 0.736
0.699 0.301 0.264
0.699 0.301 0.736
0.802 0.802 0.500
0.809 0.809 0.000

=====

no.,formation energy (no corrections) (eV/atom)
1,-0.3857
2,-1.1001
3,-2.5115
4,-1.1829
5,-2.6868